# Ba2LaIn2 PBE optimized geometry
# Magnetic moment   0.0000 μB/atom
# Energy relative to the elements   -0.2680 eV per atom
# Theoretical density   5.25 g/cm3
# Crystal system   tetragonal
# DOS(E_F)   7.35 states/eV/f.u.
data_Ba2LaIn2
_chemical_formula_sum 'Ba4 La2 In4'
_space_group_name_H-M_alt 'P 4/m b m'
_space_group_IT_number 127
_space_group_name_Hall '-P 4 2ab'
_cell_length_a 8.534
_cell_length_b 8.534
_cell_length_c 5.587
_cell_angle_alpha 90.00
_cell_angle_beta 90.00
_cell_angle_gamma 90.00
loop_
_atom_site_label
_atom_site_fract_x
_atom_site_fract_y
_atom_site_fract_z
Ba1 0.168 0.332 0.000
La1 0.000 0.000 0.500
In1 0.126 0.626 0.500



# BaLa2In PBE optimized geometry
# Magnetic moment   0.0000 μB/atom
# Energy relative to the elements   0.0560 eV per atom
# Theoretical density   5.79 g/cm3
# Crystal system   tetragonal
# DOS(E_F)   5.95 states/eV/f.u.
data_BaLa2In
_chemical_formula_sum 'Ba4 La8 In4'
_space_group_name_H-M_alt 'I -4 2 d'
_space_group_IT_number 122
_space_group_name_Hall 'I -4 2bw'
_cell_length_a 4.998
_cell_length_b 4.998
_cell_length_c 24.348
_cell_angle_alpha 90.00
_cell_angle_beta 90.00
_cell_angle_gamma 90.00
loop_
_atom_site_label
_atom_site_fract_x
_atom_site_fract_y
_atom_site_fract_z
Ba1 0.000 0.000 0.000
La1 0.206 0.250 0.625
In1 0.000 0.000 0.500



# BaLaIn6 PBE optimized geometry
# Magnetic moment   0.0000 μB/atom
# Energy relative to the elements   -0.3686 eV per atom
# Theoretical density   6.73 g/cm3
# Crystal system   orthorhombic
# DOS(E_F)   4.70 states/eV/f.u.
data_BaLaIn6
_chemical_formula_sum 'Ba1 La1 In6'
_space_group_name_H-M_alt 'P m m 2'
_space_group_IT_number 25
_space_group_name_Hall 'P 2 -2'
_cell_length_a 5.061
_cell_length_b 6.969
_cell_length_c 6.754
_cell_angle_alpha 90.00
_cell_angle_beta 90.00
_cell_angle_gamma 90.00
loop_
_atom_site_label
_atom_site_fract_x
_atom_site_fract_y
_atom_site_fract_z
Ba1 0.000 0.000 0.000
La1 0.500 0.500 0.234
In1 0.000 0.271 0.472
In2 0.000 0.500 0.894
In3 0.500 0.000 0.377
In4 0.500 0.265 0.756



# Ba3LaIn PBE optimized geometry
# Magnetic moment   0.1176 μB/atom
# Energy relative to the elements   0.5453 eV per atom
# Theoretical density   4.18 g/cm3
# Crystal system   cubic
# DOS(E_F)   7.94 states/eV/f.u.
data_Ba3LaIn
_chemical_formula_sum 'Ba3 La1 In1'
_space_group_name_H-M_alt 'P m -3 m'
_space_group_IT_number 221
_space_group_name_Hall '-P 4 2 3'
_cell_length_a 6.421
_cell_length_b 6.421
_cell_length_c 6.421
_cell_angle_alpha 90.00
_cell_angle_beta 90.00
_cell_angle_gamma 90.00
loop_
_atom_site_label
_atom_site_fract_x
_atom_site_fract_y
_atom_site_fract_z
Ba1 0.000 0.000 0.500
La1 0.000 0.000 0.000
In1 0.500 0.500 0.500



# BaLaIn3 PBE optimized geometry
# Magnetic moment   0.0000 μB/atom
# Energy relative to the elements   0.6183 eV per atom
# Theoretical density   4.81 g/cm3
# Crystal system   cubic
# Relative energy among the computed polymorphs   473.5 meV per atom
# DOS(E_F)   6.83 states/eV/f.u.
data_BaLaIn3
_chemical_formula_sum 'Ba1 La1 In3'
_space_group_name_H-M_alt 'P m -3 m'
_space_group_IT_number 221
_space_group_name_Hall '-P 4 2 3'
_cell_length_a 5.984
_cell_length_b 5.984
_cell_length_c 5.984
_cell_angle_alpha 90.00
_cell_angle_beta 90.00
_cell_angle_gamma 90.00
loop_
_atom_site_label
_atom_site_fract_x
_atom_site_fract_y
_atom_site_fract_z
Ba1 0.000 0.000 0.000
La1 0.500 0.500 0.500
In1 0.000 0.000 0.500



# BaLaIn2 PBE optimized geometry
# Magnetic moment   0.0024 μB/atom
# Energy relative to the elements   -0.2040 eV per atom
# Theoretical density   5.65 g/cm3
# Crystal system   trigonal
# DOS(E_F)   6.27 states/eV/f.u.
data_BaLaIn2
_chemical_formula_sum 'Ba3 La3 In6'
_space_group_name_H-M_alt 'R -3 m'
_space_group_IT_number 166
_space_group_name_Hall '-R 3 2"'
_cell_length_a 4.0153
_cell_length_b 4.0153
_cell_length_c 31.9330
_cell_angle_alpha 90.00
_cell_angle_beta 90.00
_cell_angle_gamma 120.00
loop_
_atom_site_label
_atom_site_fract_x
_atom_site_fract_y
_atom_site_fract_z
Ba1 0.0000 0.0000 0.0000
La1 0.0000 0.0000 0.5000
In1 0.0000 0.0000 0.2456